(1)
DFT (GGA-PBE) results for Ir3Pt after structural relaxation.

DOS at the Fermi energy: 1.254 states/eV per atom
Energy of formation: 0.0954 eV/atom
VASP energy: -193.45 eV per cell
Magnetic moment: 0.0 Bohr magnetons per cell

Cell: 5.524 13.511 4.767 Å, 90.00 90.00 90.00°
Fractional coordinates of all 24 atoms:
Ir: 0.001 0.082 0.167
Ir: 0.001 0.418 0.167
Ir: 0.003 0.750 0.501
Ir: 0.250 0.082 0.666
Ir: 0.250 0.418 0.666
Ir: 0.250 0.750 0.995
Ir: 0.497 0.750 0.501
Ir: 0.499 0.082 0.167
Ir: 0.499 0.418 0.167
Ir: 0.501 0.582 0.833
Ir: 0.501 0.918 0.833
Ir: 0.503 0.250 0.499
Ir: 0.750 0.250 0.005
Ir: 0.750 0.582 0.334
Ir: 0.750 0.918 0.334
Ir: 0.997 0.250 0.499
Ir: 0.999 0.582 0.833
Ir: 0.999 0.918 0.833
Pt: 0.250 0.250 0.994
Pt: 0.250 0.583 0.331
Pt: 0.250 0.917 0.331
Pt: 0.750 0.083 0.669
Pt: 0.750 0.417 0.669
Pt: 0.750 0.750 0.006

---

(2)
DFT (GGA-PBE) results for Ir2Pt after structural relaxation.

DOS at the Fermi energy: 1.661 states/eV per atom
Polymorph energy (0 for the lowest one): 0.077 eV/atom
Energy of formation: 0.1080 eV/atom
VASP energy: -93.76 eV per cell
Magnetic moment: 0.0 Bohr magnetons per cell

Cell: 2.746 14.386 4.549 Å, 90.00 90.00 90.00°
Fractional coordinates of all 12 atoms:
Ir: 0.000 0.054 0.250
Ir: 0.000 0.392 0.250
Ir: 0.000 0.608 0.750
Ir: 0.000 0.946 0.750
Ir: 0.500 0.108 0.750
Ir: 0.500 0.446 0.750
Ir: 0.500 0.554 0.250
Ir: 0.500 0.892 0.250
Pt: 0.000 0.281 0.750
Pt: 0.000 0.719 0.250
Pt: 0.500 0.219 0.250
Pt: 0.500 0.781 0.750

---

(3)
DFT (GGA-PBE) results for IrPt after structural relaxation.

DOS at the Fermi energy: 2.066 states/eV per atom
Energy of formation: 0.3972 eV/atom
VASP energy: -112.86 eV per cell
Magnetic moment: 2.6 Bohr magnetons per cell

Cell: 6.281 6.281 6.281 Å, 90.00 90.00 90.00°
Fractional coordinates of all 16 atoms:
Ir: 0.125 0.125 0.125
Ir: 0.125 0.625 0.625
Ir: 0.375 0.375 0.875
Ir: 0.375 0.875 0.375
Ir: 0.625 0.125 0.625
Ir: 0.625 0.625 0.125
Ir: 0.875 0.375 0.375
Ir: 0.875 0.875 0.875
Pt: 0.125 0.125 0.625
Pt: 0.125 0.625 0.125
Pt: 0.375 0.375 0.375
Pt: 0.375 0.875 0.875
Pt: 0.625 0.125 0.125
Pt: 0.625 0.625 0.625
Pt: 0.875 0.375 0.875
Pt: 0.875 0.875 0.375

---

(4)
DFT (GGA-PBE) results for Ir2Pt after structural relaxation.

DOS at the Fermi energy: 1.531 states/eV per atom
Polymorph energy (0 for the lowest one): 0.114 eV/atom
Energy of formation: 0.1449 eV/atom
VASP energy: -93.31 eV per cell
Magnetic moment: 0.0 Bohr magnetons per cell

Cell: 2.766 14.325 4.534 Å, 90.00 90.00 90.00°
Fractional coordinates of all 12 atoms:
Ir: 0.000 0.056 0.250
Ir: 0.000 0.279 0.750
Ir: 0.000 0.721 0.250
Ir: 0.000 0.944 0.750
Ir: 0.500 0.221 0.250
Ir: 0.500 0.444 0.750
Ir: 0.500 0.556 0.250
Ir: 0.500 0.779 0.750
Pt: 0.000 0.389 0.250
Pt: 0.000 0.611 0.750
Pt: 0.500 0.111 0.750
Pt: 0.500 0.889 0.250

---

(5)
DFT (GGA-PBE) results for Ir3Pt after structural relaxation.

DOS at the Fermi energy: 1.521 states/eV per atom
Energy of formation: 0.1415 eV/atom
VASP energy: -64.12 eV per cell
Magnetic moment: 0.0 Bohr magnetons per cell

Cell: 2.762 9.045 4.765 Å, 90.00 90.00 90.00°
Fractional coordinates of all 8 atoms:
Ir: 0.000 0.000 0.000
Ir: 0.000 0.254 0.664
Ir: 0.000 0.746 0.664
Ir: 0.500 0.246 0.164
Ir: 0.500 0.500 0.500
Ir: 0.500 0.754 0.164
Pt: 0.000 0.500 0.001
Pt: 0.500 0.000 0.501

---

(6)
DFT (GGA-PBE) results for IrPt after structural relaxation.

DOS at the Fermi energy: 1.135 states/eV per atom
Energy of formation: 0.0382 eV/atom
VASP energy: -29.65 eV per cell
Magnetic moment: 0.0 Bohr magnetons per cell

Cell: 2.784 3.899 5.562 Å, 90.00 90.12 90.00°
Fractional coordinates of all 4 atoms:
Ir: 0.249 0.250 0.384
Ir: 0.751 0.750 0.616
Pt: 0.251 0.250 0.871
Pt: 0.749 0.750 0.129

---

(7)
DFT (GGA-PBE) results for IrPt after structural relaxation.

DOS at the Fermi energy: 1.235 states/eV per atom
Energy of formation: 0.0890 eV/atom
VASP energy: -29.45 eV per cell
Magnetic moment: 0.0 Bohr magnetons per cell

Cell: 2.760 2.760 9.214 Å, 90.00 90.00 120.00°
Fractional coordinates of all 4 atoms:
Ir: 0.333 0.667 0.382
Ir: 0.667 0.333 0.618
Pt: 0.333 0.667 0.869
Pt: 0.667 0.333 0.131

---

(8)
DFT (GGA-PBE) results for Ir2Pt after structural relaxation.

DOS at the Fermi energy: 1.865 states/eV per atom
Polymorph energy (0 for the lowest one): 0.748 eV/atom
Energy of formation: 0.7783 eV/atom
VASP energy: -21.43 eV per cell
Magnetic moment: 0.0 Bohr magnetons per cell

Cell: 3.704 3.704 4.446 Å, 90.00 90.00 120.00°
Fractional coordinates of all 3 atoms:
Ir: 0.333 0.667 0.366
Ir: 0.667 0.333 0.634
Pt: 0.000 0.000 0.000

---

Which formula does entry 5 have? Ir3Pt

---

What is the VASP energy in the third record? -112.86 eV per cell